Density functional theory data (PBE+U) for an optimized crystal structure of VO3.

Computed properties:
Calculated volume   192.7 Å³ per cell
Raw total energy   -6.749 eV/atom

Cell lengths 5.6560, 8.7160, 3.9094 Å; angles 90.00, 90.00, 90.00 degrees
Space group Imma (No. 74)
Symmetry-distinct sites (fractional):
V 0.0000 0.2500 0.1700 x4
O 0.0000 0.2500 0.7408 x4
O 0.2500 0.1083 0.2500 x8